1.
# Mn2Tl2SbTe6 GGA-PBE optimized geometry
data_Mn2Tl2SbTe6
_chemical_formula_sum 'Mn4 Tl4 Sb2 Te12'
_cell_length_a 7.125
_cell_length_b 12.372
_cell_length_c 8.302
_cell_angle_alpha 90.00
_cell_angle_beta 104.81
_cell_angle_gamma 90.00
_symmetry_space_group_name_H-M 'C 1 2/m 1'
_symmetry_Int_Tables_number 12
loop_
_symmetry_equiv_pos_as_xyz
'x,y,z'
'-x,-y,-z'
'-x,y,-z'
'x,-y,z'
'x+1/2,y+1/2,z'
'-x+1/2,-y+1/2,-z'
'-x+1/2,y+1/2,-z'
'x+1/2,-y+1/2,z'
loop_
_atom_site_label
_atom_site_type_symbol
_atom_site_fract_x
_atom_site_fract_y
_atom_site_fract_z
Mn1 Mn 0.000 0.170 0.000
Tl1 Tl 0.000 0.350 0.500
Sb1 Sb 0.000 0.500 0.000
Te1 Te 0.189 0.000 0.195
Te2 Te 0.240 0.319 0.199
# calculated volume: 707.6 Å³ per cell
# formation energy (no corrections): -0.1984 eV per atom

***

2.
# MnTlSb2Te GGA-PBE optimized geometry
data_MnTlSb2Te
_chemical_formula_sum 'Mn1 Tl1 Sb2 Te1'
_cell_length_a 4.870
_cell_length_b 4.870
_cell_length_c 5.873
_cell_angle_alpha 90.00
_cell_angle_beta 90.00
_cell_angle_gamma 90.00
_symmetry_space_group_name_H-M 'P 4/m m m'
_symmetry_Int_Tables_number 123
_symmetry_space_group_name_Hall '-P 4 2'
loop_
_atom_site_label
_atom_site_type_symbol
_atom_site_fract_x
_atom_site_fract_y
_atom_site_fract_z
Mn1 Mn 0.000 0.000 0.000
Tl1 Tl 0.500 0.500 0.500
Sb1 Sb 0.000 0.500 0.000
Te1 Te 0.000 0.000 0.500
# calculated volume: 139.3 Å³ per cell
# distance to the lowest polymorph of the same formula: 0 meV per atom
# formation energy (no corrections): 0.3076 eV per atom

***

3.
# MnTl2SbTe4 GGA-PBE optimized geometry
data_MnTl2SbTe4
_chemical_formula_sum 'Mn4 Tl8 Sb4 Te16'
_cell_length_a 8.726
_cell_length_b 9.108
_cell_length_c 12.650
_cell_angle_alpha 90.00
_cell_angle_beta 90.00
_cell_angle_gamma 90.00
_symmetry_space_group_name_H-M 'I m m a'
_symmetry_Int_Tables_number 74
_symmetry_space_group_name_Hall '-I 2b 2'
loop_
_atom_site_label
_atom_site_type_symbol
_atom_site_fract_x
_atom_site_fract_y
_atom_site_fract_z
Mn1 Mn 0.250 0.250 0.250
Tl1 Tl 0.000 0.000 0.000
Tl2 Tl 0.250 0.250 0.750
Sb1 Sb 0.000 0.000 0.500
Te1 Te 0.000 0.041 0.257
Te2 Te 0.237 0.250 0.479
# calculated volume: 1005.3 Å³ per cell
# formation energy (no corrections): -0.1925 eV per atom